Material: Mg6Sn2Rh
Method: DFT, PBE
State: relaxed

Cell lengths 8.019, 8.019, 8.019 Å; angles 146.00, 129.86, 61.97 degrees
Sites, in units of the cell vectors:
Mg (0.084, 0.347, 0.737)
Mg (0.213, 0.000, 0.213)
Mg (0.390, 0.653, 0.737)
Mg (0.610, 0.347, 0.263)
Mg (0.787, 0.000, 0.787)
Mg (0.916, 0.653, 0.263)
Sn (0.334, 0.834, 0.500)
Sn (0.666, 0.166, 0.500)
Rh (0.000, 0.500, 0.500)

Computed properties:
Its formation enthalpy at 0 K is -0.18 eV/atom. The space-group type is No. 71. The distance to the lowest polymorph of the same formula is 0.89 eV per formula unit.